First-principles (PBE-GGA) data for an optimized crystal structure of Zr3C, as listed in the Alexandria database.

- formation energy (eV/atom) = 0.032
- calculated volume (Å³ per atom) = 18.90
- symmetry = No. 71
- total moment (μB/atom) = 0.000
- offset from the most stable computed form (eV per atom) = 0.430
- DOS(E_F) (states/eV/cell) = 4.5

```
Zr3C
1.0
-1.563 2.529 4.782
1.563 -2.529 4.782
1.563 2.529 -4.782
Zr C
3 1
Cartesian
0.000 0.000 0.000 Zr
1.563 0.000 3.143 Zr
0.000 2.529 1.639 Zr
0.000 0.000 4.782 C
```



First-principles (PBE-GGA) data for an optimized crystal structure of Ac2MgGa5, as listed in the Alexandria database.

- formation energy (eV/atom) = -0.424
- calculated volume (Å³ per atom) = 26.08
- symmetry = No. 107
- total moment (μB/atom) = 0.000
- DOS(E_F) (states/eV/cell) = 3.4

```
Ac2MgGa5
1.0
-3.301 3.301 4.786
3.301 -3.301 4.786
3.301 3.301 -4.786
Ac Mg Ga
2 1 5
Cartesian
3.301 0.000 0.000 Ac
0.000 3.301 0.000 Ac
0.000 0.000 2.384 Mg
1.993 1.993 2.394 Ga
1.308 -1.308 7.181 Ga
-1.308 1.308 7.181 Ga
1.308 1.308 7.181 Ga
0.000 0.000 9.180 Ga
```



First-principles (PBE-GGA) data for an optimized crystal structure of KInS3, as listed in the Alexandria database.

- calculated volume (Å³ per atom) = 37.13
- symmetry = No. 221
- total moment (μB/atom) = 0.800
- formation energy (no corrections) (meV per atom) = 792
- offset from the most stable computed form (eV per atom) = 0.999
- DOS(E_F) (states/eV/cell) = 7.9

```
KInS3
1.0
5.705 0.000 0.000
0.000 5.705 0.000
0.000 0.000 5.705
K In S
1 1 3
Cartesian
0.000 0.000 0.000 K
2.852 2.852 2.852 In
0.000 0.000 2.852 S
0.000 2.852 0.000 S
2.852 0.000 0.000 S
```



First-principles (PBE-GGA) data for an optimized crystal structure of Tb2Nd5Ho4, as listed in the Alexandria database.

- formation energy (eV/atom) = 0.073
- calculated volume (Å³ per atom) = 33.31
- symmetry = No. 12
- total moment (μB/atom) = 0.000
- offset from the most stable computed form (eV per atom) = 0.000
- DOS(E_F) (states/eV/cell) = 15.4

```
Tb2Nd5Ho4
1.0
8.865 -1.778 0.000
8.865 1.778 0.000
-0.812 0.000 11.625
Tb Nd Ho
2 5 4
Cartesian
3.546 0.000 4.099 Tb
13.373 0.000 7.526 Tb
0.000 0.000 0.000 Nd
4.980 0.000 10.805 Nd
6.778 0.000 5.402 Nd
10.140 0.000 6.223 Nd
11.938 0.000 0.820 Nd
1.844 0.000 9.247 Ho
7.649 0.000 8.605 Ho
9.270 0.000 3.020 Ho
15.074 0.000 2.378 Ho
```



First-principles (PBE-GGA) data for an optimized crystal structure of U2AlSi3Pt4, as listed in the Alexandria database.

- calculated volume (Å³ per atom) = 17.57
- symmetry = No. 115
- total moment (μB/atom) = 0.437
- formation energy (no corrections) (meV per atom) = -798
- DOS(E_F) (states/eV/cell) = 17.9

```
U2AlSi3Pt4
1.0
4.125 0.000 0.000
0.000 4.125 0.000
0.000 0.000 10.323
U Al Si Pt
2 1 3 4
Cartesian
0.000 2.063 2.555 U
2.063 0.000 7.768 U
0.000 0.000 5.162 Al
0.000 2.063 8.934 Si
2.063 0.000 1.390 Si
2.063 2.063 5.162 Si
0.000 0.000 0.000 Pt
0.000 2.063 6.552 Pt
2.063 0.000 3.771 Pt
2.063 2.063 0.000 Pt
```



First-principles (PBE-GGA) data for an optimized crystal structure of InSnAu4, as listed in the Alexandria database.

- formation energy (eV/atom) = -0.025
- calculated volume (Å³ per atom) = 21.13
- symmetry = No. 216
- total moment (μB/atom) = 0.000
- offset from the most stable computed form (eV per atom) = 0.031
- DOS(E_F) (states/eV/cell) = 3.9

```
InSnAu4
1.0
0.000 3.987 3.987
3.987 0.000 3.987
3.987 3.987 0.000
In Sn Au
1 1 4
Cartesian
0.000 0.000 0.000 In
5.980 5.980 5.980 Sn
2.989 2.989 2.989 Au
4.985 4.985 2.989 Au
4.985 2.989 4.985 Au
2.989 4.985 4.985 Au
```



Please write out number 6 again, unchanged.
First-principles (PBE-GGA) data for an optimized crystal structure of InSnAu4, as listed in the Alexandria database.

- formation energy (eV/atom) = -0.025
- calculated volume (Å³ per atom) = 21.13
- symmetry = No. 216
- total moment (μB/atom) = 0.000
- offset from the most stable computed form (eV per atom) = 0.031
- DOS(E_F) (states/eV/cell) = 3.9

```
InSnAu4
1.0
0.000 3.987 3.987
3.987 0.000 3.987
3.987 3.987 0.000
In Sn Au
1 1 4
Cartesian
0.000 0.000 0.000 In
5.980 5.980 5.980 Sn
2.989 2.989 2.989 Au
4.985 4.985 2.989 Au
4.985 2.989 4.985 Au
2.989 4.985 4.985 Au
```